No. 1
4
Lattice="0.0000 3.3347 3.3347 3.3347 0.0000 3.3347 3.3347 3.3347 0.0000" Properties=species:S:1:pos:R:3 comment="CsTi2Pd | the Alexandria database | PBEsol | relaxed" formation_enthalpy_0k_ev_per_fu=3.23 spacegroup="Fm-3m, No. 225" pbc="T T T"
Cs 0.0000 0.0000 0.0000
Ti 1.6673 1.6673 1.6673
Ti 5.0020 5.0020 5.0020
Pd 3.3347 3.3347 3.3347



No. 2
5
Lattice="-2.4241 2.4241 5.5775 2.4241 -2.4241 5.5775 2.4241 2.4241 -5.5775" Properties=species:S:1:pos:R:3 comment="CsTl2Pd2 | the Alexandria database | PBEsol | relaxed" formation_enthalpy_0k_ev_per_fu=-0.25 spacegroup="I4/mmm, No. 139" pbc="T T T"
Cs 0.0000 0.0000 0.0000
Tl 2.4241 0.0000 2.7888
Tl 0.0000 2.4241 2.7888
Pd 0.0000 0.0000 4.2360
Pd 0.0000 0.0000 6.9190



No. 3
5
Lattice="5.0288 0.0000 0.0000 0.0000 5.0288 0.0000 0.0000 0.0000 5.0288" Properties=species:S:1:pos:R:3 comment="CsPd3W | the Alexandria database | PBEsol | relaxed" formation_enthalpy_0k_ev_per_fu=12.62 spacegroup="Pm-3m, No. 221" pbc="T T T"
Cs 0.0000 0.0000 0.0000
Pd 0.0000 0.0000 2.5144
Pd 0.0000 2.5144 0.0000
Pd 2.5144 0.0000 0.0000
W 2.5144 2.5144 2.5144



No. 4
5
Lattice="6.4500 0.0000 0.0000 0.0000 6.4500 0.0000 0.0000 0.0000 6.4500" Properties=species:S:1:pos:R:3 comment="Cs3ZnPd | the Alexandria database | PBEsol | relaxed" formation_enthalpy_0k_ev_per_fu=1.62 spacegroup="Pm-3m, No. 221" pbc="T T T"
Cs 0.0000 0.0000 3.2250
Cs 0.0000 3.2250 0.0000
Cs 3.2250 0.0000 0.0000
Zn 3.2250 3.2250 3.2250
Pd 0.0000 0.0000 0.0000



No. 5
4
Lattice="-2.6475 2.6475 5.2806 2.6475 -2.6475 5.2806 2.6475 2.6475 -5.2806" Properties=species:S:1:pos:R:3 comment="CsPr3 | the Alexandria database | PBEsol | relaxed" formation_enthalpy_0k_ev_per_fu=1.96 spacegroup="I4/mmm, No. 139" pbc="T T T"
Cs 0.0000 0.0000 0.0000
Pr 2.6475 0.0000 2.6403
Pr 0.0000 0.0000 5.2806
Pr 0.0000 2.6475 2.6403



No. 6
12
Lattice="2.2217 -8.3763 0.0000 2.2217 8.3763 0.0000 0.0000 0.0000 11.8675" Properties=species:S:1:pos:R:3 comment="CsPrZnTe3 | the Alexandria database | PBEsol | relaxed" e_form_raw_ev_per_atom=-1.067 spacegroup="Cmcm, No. 63" pbc="T T T"
Cs 2.2217 4.2714 8.9006
Cs 2.2217 -4.2714 2.9669
Pr 2.2217 0.0000 0.0000
Pr 2.2217 0.0000 5.9337
Zn 2.2217 7.7635 2.9669
Zn 2.2217 -7.7635 8.9006
Te 2.2217 6.2761 0.7837
Te 2.2217 6.2761 5.1500
Te 2.2217 1.0313 2.9669
Te 2.2217 -1.0313 8.9006
Te 2.2217 -6.2761 6.7174
Te 2.2217 -6.2761 11.0837



| no. | ρ (g cm⁻³) | total moment (μB/cell) |
| --- | --- | --- |
| 1 | 7.502 | 0.00 |
| 2 | 9.556 | 0.00 |
| 3 | 8.305 | 4.76 |
| 4 | 3.531 | 1.04 |
| 5 | 6.232 | 0.00 |
| 6 | 5.429 | 0.00 |